# HfBP2S

Crystalline HfBP2S at its relaxed geometry (PBE-GGA, the Alexandria database). Values from VASP.

Properties
For the total energy, the calculation gives -5.295 eV per atom. The calculation puts the theoretical density at 3.8 g/cm³. For the uncorrected formation energy, the calculation gives 1.021 eV/atom.

Cell and atoms, written as Quantum ESPRESSO input:
```
&SYSTEM
  ibrav = 0, nat = 5, ntyp = 4
/
ATOMIC_SPECIES
S 32.06 S.upf
Hf 178.49 Hf.upf
B 10.81 B.upf
P 30.97 P.upf
CELL_PARAMETERS angstrom
-2.384 4.364 -0.521
-4.204 -2.092 1.718
1.253 1.230 4.564
ATOMIC_POSITIONS crystal
S 0.000 0.000 0.500
Hf 0.000 0.000 0.000
B 0.500 0.500 0.500
P 0.000 0.500 0.000
P 0.500 0.000 0.000
```

# HfSiBP2

Crystalline HfSiBP2 at its relaxed geometry (PBE-GGA, the Alexandria database). Values from VASP.

Properties
For the total energy, the calculation gives -6.184 eV per atom. The calculation puts the theoretical density at 6.2 g/cm³. For the uncorrected formation energy, the calculation gives 0.391 eV/atom.

Cell and atoms, written as Quantum ESPRESSO input:
```
&SYSTEM
  ibrav = 0, nat = 5, ntyp = 4
/
ATOMIC_SPECIES
P 30.97 P.upf
Si 28.09 Si.upf
Hf 178.49 Hf.upf
B 10.81 B.upf
CELL_PARAMETERS angstrom
4.448 0.000 0.000
0.000 3.760 0.000
0.000 0.000 4.448
ATOMIC_POSITIONS crystal
P 0.500 0.000 0.000
P 0.000 0.000 0.500
Si 0.000 0.500 0.000
Hf 0.500 0.500 0.500
B 0.000 0.000 0.000
```

# HfTl2BP

Crystalline HfTl2BP at its relaxed geometry (PBE-GGA, the Alexandria database). Values from VASP.

Properties
For the total energy, the calculation gives -4.098 eV per atom. The calculation puts the theoretical density at 6.6 g/cm³. As for the formation enthalpy at 0 K: 1.257 eV per atom.

Cell and atoms, written as Quantum ESPRESSO input:
```
&SYSTEM
  ibrav = 0, nat = 5, ntyp = 4
/
ATOMIC_SPECIES
P 30.97 P.upf
Hf 178.49 Hf.upf
Tl 204.38 Tl.upf
B 10.81 B.upf
CELL_PARAMETERS angstrom
5.703 0.000 0.000
0.000 4.890 0.000
0.000 0.000 5.703
ATOMIC_POSITIONS crystal
P 0.000 0.500 0.000
Hf 0.000 0.000 0.000
Tl 0.000 0.000 0.500
Tl 0.500 0.000 0.000
B 0.500 0.500 0.500
```

Question: Which of these has the highest theoretical density?
Answer: HfTl2BP